1.
{
  "formula": "NbZnNiAu",
  "functional": "GGA-PBE",
  "state": "relaxed",
  "total_magnetization_mub_per_cell": 0.0,
  "e_above_lowest_polymorph_ev_per_atom": 0.0000,
  "space_group": "P4mm, No. 99",
  "e_tot_ev_per_cell": -21.19,
  "delta_e_f_kj_per_mol_atoms": -19.0,
  "crystal_system": "tetragonal",
  "lattice_angstrom": [[2.890, 0.000, 0.000], [0.000, 2.890, 0.000], [0.000, 0.000, 7.266]],
  "species": ["Nb", "Zn", "Ni", "Au"],
  "frac_coords": [[0.000, 0.000, 0.000], [0.000, 0.000, 0.560], [0.500, 0.500, 0.763], [0.500, 0.500, 0.295]]
}



2.
{
  "formula": "Cd7InAg3",
  "functional": "GGA-PBE",
  "state": "relaxed",
  "total_magnetization_mub_per_cell": 0.0,
  "space_group": "P3m1, No. 156",
  "e_tot_ev_per_cell": -17.32,
  "delta_e_f_kj_per_mol_atoms": 3.3,
  "crystal_system": "trigonal",
  "lattice_angstrom": [[6.249, 0.000, 0.000], [-3.124, 5.411, 0.000], [0.000, 0.000, 7.271]],
  "species": ["Cd", "Cd", "Cd", "Cd", "Cd", "Cd", "Cd", "In", "Ag", "Ag", "Ag"],
  "frac_coords": [[0.000, 0.000, 0.000], [0.007, 0.504, 0.016], [0.170, 0.340, 0.643], [0.170, 0.830, 0.643], [0.496, 0.504, 0.016], [0.496, 0.993, 0.016], [0.660, 0.830, 0.643], [0.667, 0.333, 0.650], [0.330, 0.165, 0.327], [0.835, 0.165, 0.327], [0.835, 0.670, 0.327]]
}



3.
{
  "formula": "ThSc",
  "functional": "GGA-PBE",
  "state": "relaxed",
  "total_magnetization_mub_per_cell": 0.0,
  "e_above_lowest_polymorph_ev_per_atom": 0.0058,
  "space_group": "C2/m, No. 12",
  "e_tot_ev_per_cell": -27.25,
  "delta_e_f_kj_per_mol_atoms": 6.0,
  "crystal_system": "monoclinic",
  "lattice_angstrom": [[5.868, -2.756, 0.000], [5.868, 2.756, 0.000], [-1.146, 0.000, 3.485]],
  "species": ["Th", "Th", "Sc", "Sc"],
  "frac_coords": [[0.129, 0.129, 0.379], [0.871, 0.871, 0.621], [0.384, 0.384, 0.134], [0.616, 0.616, 0.866]]
}



4.
{
  "formula": "AcMg2Zn4Ag",
  "functional": "GGA-PBE",
  "state": "relaxed",
  "total_magnetization_mub_per_cell": 0.0,
  "space_group": "R-3m, No. 166",
  "e_tot_ev_per_cell": -16.43,
  "delta_e_f_kj_per_mol_atoms": -14.3,
  "crystal_system": "trigonal",
  "lattice_angstrom": [[2.278, 1.315, 9.401], [-2.278, 1.315, 9.401], [0.000, -2.631, 9.401]],
  "species": ["Ac", "Mg", "Mg", "Zn", "Zn", "Zn", "Zn", "Ag"],
  "frac_coords": [[0.000, 0.000, 0.000], [0.235, 0.235, 0.235], [0.765, 0.765, 0.765], [0.129, 0.129, 0.129], [0.403, 0.403, 0.403], [0.597, 0.597, 0.597], [0.871, 0.871, 0.871], [0.500, 0.500, 0.500]]
}



Please write out number 3 again, unchanged.
{
  "formula": "ThSc",
  "functional": "GGA-PBE",
  "state": "relaxed",
  "total_magnetization_mub_per_cell": 0.0,
  "e_above_lowest_polymorph_ev_per_atom": 0.0058,
  "space_group": "C2/m, No. 12",
  "e_tot_ev_per_cell": -27.25,
  "delta_e_f_kj_per_mol_atoms": 6.0,
  "crystal_system": "monoclinic",
  "lattice_angstrom": [[5.868, -2.756, 0.000], [5.868, 2.756, 0.000], [-1.146, 0.000, 3.485]],
  "species": ["Th", "Th", "Sc", "Sc"],
  "frac_coords": [[0.129, 0.129, 0.379], [0.871, 0.871, 0.621], [0.384, 0.384, 0.134], [0.616, 0.616, 0.866]]
}